Crystalline Sm9MgIn2 at its relaxed geometry, computed with PBE.

Structure (CIF):
```
data_Sm9MgIn2
_symmetry_space_group_name_H-M 'P 4/m m m'
_symmetry_Int_Tables_number 123
_symmetry_space_group_name_Hall '-P 4 2'
_cell_length_a 4.955
_cell_length_b 4.955
_cell_length_c 14.833
_cell_angle_alpha 90.00
_cell_angle_beta 90.00
_cell_angle_gamma 90.00
loop_
_atom_site_label
_atom_site_type_symbol
_atom_site_fract_x
_atom_site_fract_y
_atom_site_fract_z
_atom_site_occupancy
Sm1 Sm 0.000 0.000 0.000 1
Sm2 Sm 0.000 0.000 0.332 1
Sm3 Sm 0.000 0.500 0.168 1
Sm4 Sm 0.000 0.500 0.500 1
Mg1 Mg 0.500 0.500 0.000 1
In1 In 0.500 0.500 0.335 1
```

Output
Energy of formation from the pure elements: -175 meV/atom

***

Crystalline Sm3Mg2In at its relaxed geometry, computed with PBE.

Structure (CIF):
```
data_Sm3Mg2In
_symmetry_space_group_name_H-M 'P 4/m m m'
_symmetry_Int_Tables_number 123
_symmetry_space_group_name_Hall '-P 4 2'
_cell_length_a 3.836
_cell_length_b 3.836
_cell_length_c 11.580
_cell_angle_alpha 90.00
_cell_angle_beta 90.00
_cell_angle_gamma 90.00
loop_
_atom_site_label
_atom_site_type_symbol
_atom_site_fract_x
_atom_site_fract_y
_atom_site_fract_z
_atom_site_occupancy
Sm1 Sm 0.000 0.000 0.000 1
Sm2 Sm 0.000 0.000 0.333 1
Mg1 Mg 0.500 0.500 0.164 1
In1 In 0.500 0.500 0.500 1
```

Output
Energy of formation from the pure elements: -230 meV/atom
Relative energy among the computed polymorphs: 0.0215 eV per atom

***

Crystalline Sm3Mg4In2 at its relaxed geometry, computed with PBE.

Structure (CIF):
```
data_Sm3Mg4In2
_symmetry_space_group_name_H-M 'C 1 2/m 1'
_symmetry_Int_Tables_number 12
_symmetry_space_group_name_Hall '-C 2y'
_cell_length_a 11.298
_cell_length_b 5.088
_cell_length_c 9.573
_cell_angle_alpha 90.00
_cell_angle_beta 119.63
_cell_angle_gamma 90.00
loop_
_atom_site_label
_atom_site_type_symbol
_atom_site_fract_x
_atom_site_fract_y
_atom_site_fract_z
_atom_site_occupancy
Sm1 Sm 0.000 0.000 0.000 1
Sm2 Sm 0.164 0.500 0.670 1
Mg1 Mg 0.074 0.000 0.405 1
Mg2 Mg 0.208 0.500 0.043 1
In1 In 0.110 0.500 0.275 1
```

Output
Energy of formation from the pure elements: -283 meV/atom